## i
## ZrPBr2 (GGA-PBEsol)

Data for a geometry-optimized ZrPBr2 structure.

Computed properties:
The value obtained for the theoretical density is 4.18 g/cm³.

a b c (Å): 3.5622 5.1977 6.8274
angles (deg): 112.37 105.12 90.00
Fractional coordinates of all 4 atoms:
Zr: 0.2552 0.7552 0.5103
P: 0.6136 0.6136 0.2272
Br: 0.7037 0.2037 0.4074
Br: 0.9276 0.9276 0.8551

## ii
## ZrPBr2 (GGA-PBEsol)

Data for a geometry-optimized ZrPBr2 structure.

Computed properties:
The value obtained for the theoretical density is 4.88 g/cm³.

a b c (Å): 3.2790 3.3023 10.2001
angles (deg): 90.00 90.00 119.77
Site moments in Bohr magnetons follow the coordinates.
Fractional coordinates of all 4 atoms:
Zr: 0.5000 0.0000 0.0000  -0.02
Br: 0.0000 0.0000 0.7932  0.01
Br: 0.0000 0.0000 0.2068  0.01
P: 0.5000 0.0000 0.5000  0.27

Stability, highest: i

## i
## RbPb3Br (GGA-PBEsol)

Data for a geometry-optimized RbPb3Br structure.

Computed properties:
The value obtained for the theoretical density is 6.69 g/cm³.

a b c (Å): 5.8025 5.8025 5.8025
angles (deg): 90.00 90.00 90.00
Fractional coordinates of all 5 atoms:
Pb: 0.0000 0.0000 0.5000
Pb: 0.5000 0.0000 0.0000
Pb: 0.0000 0.5000 0.0000
Br: 0.0000 0.0000 0.0000
Rb: 0.5000 0.5000 0.5000

## ii
## RbPb3Br (GGA-PBEsol)

Data for a geometry-optimized RbPb3Br structure.

Computed properties:
The value obtained for the theoretical density is 5.54 g/cm³.

a b c (Å): 6.1801 6.1801 6.1801
angles (deg): 90.00 90.00 90.00
Site moments in Bohr magnetons follow the coordinates.
Fractional coordinates of all 5 atoms:
Pb: 0.0000 0.0000 0.5000  0.21
Pb: 0.0000 0.5000 0.0000  0.21
Pb: 0.5000 0.0000 0.0000  0.21
Rb: 0.0000 0.0000 0.0000  0.09
Br: 0.5000 0.5000 0.5000  0.20

Stability, highest: i

## i
## RePbBr2 (GGA-PBEsol)

Data for a geometry-optimized RePbBr2 structure.

Computed properties:
The value obtained for the theoretical density is 9.13 g/cm³.

a b c (Å): 3.2016 4.9065 7.0438
angles (deg): 110.33 103.14 90.00
Fractional coordinates of all 4 atoms:
Br: 0.8390 0.8387 0.6781
Br: 0.1610 0.1613 0.3219
Pb: 0.0000 0.5000 0.0000
Re: 0.5000 0.0000 0.0000

## ii
## RePbBr2 (GGA-PBEsol)

Data for a geometry-optimized RePbBr2 structure.

Computed properties:
The value obtained for the theoretical density is 10.02 g/cm³.

a b c (Å): 3.3214 3.3626 9.4384
angles (deg): 90.00 90.00 119.60
Fractional coordinates of all 4 atoms:
Br: 0.5000 0.0000 0.2688
Br: 0.0000 0.0000 0.9544
Re: 0.5000 0.0000 0.7603
Pb: 0.0000 0.0000 0.5165

## iii
## RePbBr2 (GGA-PBEsol)

Data for a geometry-optimized RePbBr2 structure.

Computed properties:
The value obtained for the theoretical density is 11.12 g/cm³.

a b c (Å): 3.3288 4.9814 4.9814
angles (deg): 90.00 90.00 90.00
Fractional coordinates of all 4 atoms:
Re: 0.5000 0.0000 0.0000
Br: 0.0000 0.5000 0.0000
Br: 0.0000 0.0000 0.5000
Pb: 0.5000 0.5000 0.5000

## iv
## RePbBr2 (GGA-PBEsol)

Data for a geometry-optimized RePbBr2 structure.

Computed properties:
The value obtained for the theoretical density is 9.34 g/cm³.

a b c (Å): 3.0990 4.6901 7.3262
angles (deg): 108.67 102.21 90.00
Fractional coordinates of all 4 atoms:
Br: 0.9114 0.9114 0.8228
Br: 0.7412 0.2412 0.4824
Re: 0.2656 0.7656 0.5312
Pb: 0.5818 0.5818 0.1636

Stability, highest: i

## i
## RhPbBr2 (GGA-PBEsol)

Data for a geometry-optimized RhPbBr2 structure.

Computed properties:
The value obtained for the theoretical density is 7.72 g/cm³.

a b c (Å): 4.1376 5.0491 5.4567
angles (deg): 117.54 90.00 90.00
Fractional coordinates of all 4 atoms:
Rh: 0.5000 0.2597 0.5194
Br: 0.0000 0.0834 0.1668
Br: 0.5000 0.7306 0.4610
Pb: 0.0000 0.4264 0.8528

## ii
## RhPbBr2 (GGA-PBEsol)

Data for a geometry-optimized RhPbBr2 structure.

Computed properties:
The value obtained for the theoretical density is 8.39 g/cm³.

a b c (Å): 3.4715 3.4715 7.7212
angles (deg): 90.00 90.00 90.00
Fractional coordinates of all 4 atoms:
Rh: 0.5000 0.5000 0.7995
Pb: 0.0000 0.0000 0.5218
Br: 0.5000 0.5000 0.2704
Br: 0.0000 0.0000 0.9082

Stability, highest: i

## i
## SbPbBr2 (GGA-PBEsol)

Data for a geometry-optimized SbPbBr2 structure.

Computed properties:
The value obtained for the theoretical density is 6.88 g/cm³.

a b c (Å): 6.7655 6.8060 6.8060
angles (deg): 75.70 60.20 60.20
Fractional coordinates of all 8 atoms:
Pb: 0.0000 0.0000 0.0000
Pb: 0.7500 0.5000 0.5000
Sb: 0.5000 0.0000 0.0000
Sb: 0.2500 0.5000 0.5000
Br: 0.1321 0.9929 0.4929
Br: 0.8750 0.5071 0.9929
Br: 0.6179 0.0071 0.5071
Br: 0.3750 0.4929 0.0071

## ii
## SbPbBr2 (GGA-PBEsol)

Data for a geometry-optimized SbPbBr2 structure.

Computed properties:
The value obtained for the theoretical density is 7.28 g/cm³.

a b c (Å): 4.3228 4.3228 6.7024
angles (deg): 108.81 108.81 90.00
Fractional coordinates of all 4 atoms:
Br: 0.0000 0.0000 0.0000
Br: 0.7500 0.2500 0.5000
Pb: 0.5000 0.5000 0.0000
Sb: 0.2500 0.7500 0.5000

Stability, highest: ii

## i
## Sb2PbBr (GGA-PBEsol)

Data for a geometry-optimized Sb2PbBr structure.

Computed properties:
The value obtained for the theoretical density is 8.20 g/cm³.

a b c (Å): 3.4044 3.4044 9.2715
angles (deg): 90.00 90.00 90.00
Fractional coordinates of all 4 atoms:
Br: 0.5000 0.5000 0.0000
Pb: 0.5000 0.5000 0.5000
Sb: 0.0000 0.0000 0.2436
Sb: 0.0000 0.0000 0.7564

## ii
## Sb2PbBr (GGA-PBEsol)

Data for a geometry-optimized Sb2PbBr structure.

Computed properties:
The value obtained for the theoretical density is 7.88 g/cm³.

a b c (Å): 3.2855 5.9435 6.4535
angles (deg): 117.42 90.00 90.00
Fractional coordinates of all 4 atoms:
Sb: 0.0000 0.5000 0.5000
Sb: 0.0000 0.0000 0.5000
Br: 0.5000 0.0000 0.0000
Pb: 0.5000 0.5000 0.0000

## iii
## Sb2PbBr (GGA-PBEsol)

Data for a geometry-optimized Sb2PbBr structure.

Computed properties:
The value obtained for the theoretical density is 8.38 g/cm³.

a b c (Å): 5.2969 5.2969 5.2969
angles (deg): 60.00 60.00 60.00
Fractional coordinates of all 4 atoms:
Sb: 0.7500 0.7500 0.7500
Sb: 0.2500 0.2500 0.2500
Br: 0.0000 0.0000 0.0000
Pb: 0.5000 0.5000 0.5000

Stability, highest: ii

## i
## SbPbBr (GGA-PBEsol)

Data for a geometry-optimized SbPbBr structure.

Computed properties:
The value obtained for the theoretical density is 7.16 g/cm³.

a b c (Å): 5.1188 5.1188 5.1188
angles (deg): 60.00 60.00 60.00
Fractional coordinates of all 3 atoms:
Pb: 0.0000 0.0000 0.0000
Br: 0.2500 0.2500 0.2500
Sb: 0.5000 0.5000 0.5000

## ii
## SbPbBr (GGA-PBEsol)

Data for a geometry-optimized SbPbBr structure.

Computed properties:
The value obtained for the theoretical density is 7.98 g/cm³.

a b c (Å): 3.6208 3.6208 7.4913
angles (deg): 90.00 90.00 120.00
Fractional coordinates of all 3 atoms:
Pb: 0.6667 0.3333 0.6787
Sb: 0.3333 0.6667 0.3413
Br: 0.0000 0.0000 0.9799

Stability, highest: ii

## i
## ScPb2Br (GGA-PBEsol)

Data for a geometry-optimized ScPb2Br structure.

Computed properties:
The value obtained for the theoretical density is 8.63 g/cm³.

a b c (Å): 3.3534 5.6033 6.4155
angles (deg): 115.89 105.15 90.00
Fractional coordinates of all 4 atoms:
Sc: 0.5179 0.5179 0.0358
Pb: 0.7749 0.2749 0.5498
Pb: 0.9987 0.9987 0.9974
Br: 0.2085 0.7085 0.4170

## ii
## ScPb2Br (GGA-PBEsol)

Data for a geometry-optimized ScPb2Br structure.

Computed properties:
The value obtained for the theoretical density is 8.26 g/cm³.

a b c (Å): 3.5821 5.4289 5.5798
angles (deg): 90.00 90.00 93.05
Fractional coordinates of all 4 atoms:
Br: 0.5000 0.0000 0.5000
Sc: 0.5000 0.5000 0.5000
Pb: 0.2059 0.2650 0.0000
Pb: 0.7941 0.7350 0.0000

Stability, highest: i

## i
## PbSeBr (GGA-PBEsol)

Data for a geometry-optimized PbSeBr structure.

Computed properties:
The value obtained for the theoretical density is 7.32 g/cm³.

a b c (Å): 3.9839 3.9839 5.9400
angles (deg): 109.59 109.59 90.00
Fractional coordinates of all 3 atoms:
Pb: 0.7096 0.7096 0.4193
Br: 0.9942 0.9942 0.9884
Se: 0.2962 0.2962 0.5923

## ii
## PbSeBr (GGA-PBEsol)

Data for a geometry-optimized PbSeBr structure.

Computed properties:
The value obtained for the theoretical density is 6.94 g/cm³.

a b c (Å): 4.0844 4.0844 6.0665
angles (deg): 90.00 90.00 120.00
Fractional coordinates of all 3 atoms:
Br: 0.0000 0.0000 0.9692
Pb: 0.6667 0.3333 0.6425
Se: 0.3333 0.6667 0.3882

Stability, highest: ii

## i
## SrPbSe2Br (GGA-PBEsol)

Data for a geometry-optimized SrPbSe2Br structure.

Computed properties:
The value obtained for the theoretical density is 5.43 g/cm³.

a b c (Å): 5.4155 5.4155 5.5502
angles (deg): 90.00 90.00 90.00
Fractional coordinates of all 5 atoms:
Pb: 0.0000 0.0000 0.0000
Se: 0.0000 0.5000 0.0000
Se: 0.5000 0.0000 0.0000
Br: 0.0000 0.0000 0.5000
Sr: 0.5000 0.5000 0.5000

## ii
## SrPbSe2Br (GGA-PBEsol)

Data for a geometry-optimized SrPbSe2Br structure.

Computed properties:
The value obtained for the theoretical density is 5.02 g/cm³.

a b c (Å): 5.5746 5.6218 5.6218
angles (deg): 90.00 90.00 90.00
Fractional coordinates of all 5 atoms:
Br: 0.5000 0.0000 0.0000
Sr: 0.0000 0.0000 0.0000
Pb: 0.5000 0.5000 0.5000
Se: 0.0000 0.0000 0.5000
Se: 0.0000 0.5000 0.0000

Stability, highest: i

## i
## Si2PbBr (GGA-PBEsol)

Data for a geometry-optimized Si2PbBr structure.

Computed properties:
The value obtained for the theoretical density is 6.35 g/cm³.

a b c (Å): 3.1983 4.6048 6.0930
angles (deg): 90.00 90.00 90.00
Fractional coordinates of all 4 atoms:
Si: 0.0000 0.0000 0.7979
Si: 0.0000 0.0000 0.2021
Pb: 0.5000 0.5000 0.5000
Br: 0.5000 0.5000 0.0000

## ii
## Si2PbBr (GGA-PBEsol)

Data for a geometry-optimized Si2PbBr structure.

Computed properties:
The value obtained for the theoretical density is 6.64 g/cm³.

a b c (Å): 4.9517 4.9517 4.9517
angles (deg): 60.00 60.00 60.00
Fractional coordinates of all 4 atoms:
Br: 0.5000 0.5000 0.5000
Si: 0.7500 0.7500 0.7500
Si: 0.0000 0.0000 0.0000
Pb: 0.2500 0.2500 0.2500

## iii
## Si2PbBr (GGA-PBEsol)

Data for a geometry-optimized Si2PbBr structure.

Computed properties:
The value obtained for the theoretical density is 6.52 g/cm³.

a b c (Å): 3.2093 3.2093 9.6071
angles (deg): 90.00 90.00 117.99
Fractional coordinates of all 4 atoms:
Si: 0.0000 0.0000 0.2709
Si: 0.0000 0.0000 0.7291
Pb: 0.5000 0.5000 0.0000
Br: 0.5000 0.5000 0.5000

Stability, highest: ii

## i
## Sr2PbBr (GGA-PBEsol)

Data for a geometry-optimized Sr2PbBr structure.

Computed properties:
The value obtained for the theoretical density is 5.59 g/cm³.

a b c (Å): 3.8843 5.9455 5.9476
angles (deg): 90.00 90.00 90.00
Fractional coordinates of all 4 atoms:
Sr: 0.2122 0.5000 0.0000
Sr: 0.2124 0.0000 0.5000
Br: 0.3518 0.0000 0.0000
Pb: 0.7237 0.5000 0.5000

## ii
## Sr2PbBr (GGA-PBEsol)

Data for a geometry-optimized Sr2PbBr structure.

Computed properties:
The value obtained for the theoretical density is 5.77 g/cm³.

a b c (Å): 5.7301 5.7301 5.7301
angles (deg): 60.00 60.00 60.00
Fractional coordinates of all 4 atoms:
Sr: 0.7500 0.7500 0.7500
Sr: 0.0000 0.0000 0.0000
Pb: 0.2500 0.2500 0.2500
Br: 0.5000 0.5000 0.5000

## iii
## Sr2PbBr (GGA-PBEsol)

Data for a geometry-optimized Sr2PbBr structure.

Computed properties:
The value obtained for the theoretical density is 5.72 g/cm³.

a b c (Å): 3.8736 5.4960 6.5928
angles (deg): 90.00 107.08 90.00
Fractional coordinates of all 4 atoms:
Sr: 0.7440 0.5000 0.4881
Sr: 0.9944 0.0000 0.9887
Pb: 0.2607 0.0000 0.5215
Br: 0.5008 0.5000 0.0017

Stability, highest: i